--- w ---
5
Lattice="-2.015 -4.766 -1.230 3.641 -2.338 3.093 -1.968 -3.275 4.414" Properties=species:S:1:pos:R:3 comment="CaTi2Sb2 | Alexandria via LeMat-Bulk | PBE-GGA | relaxed" magmom_total_mub_per_fu=1.87 pbc="T T T"
Sb 1.243 -4.582 4.219
Ca 0.000 0.000 0.000
Sb -1.585 -5.796 2.058
Ti -0.344 -6.907 4.330
Ti 0.001 -3.471 1.948

---

--- x ---
10
Lattice="7.940 0.000 0.000 0.000 7.940 0.000 0.000 0.000 3.611" Properties=species:S:1:pos:R:3 comment="CaTi2Sb2 | Alexandria via LeMat-Bulk | PBE-GGA | relaxed" magmom_total_mub_per_fu=0.00 pbc="T T T"
Sb 2.781 6.751 0.000
Ti 1.056 5.026 1.806
Sb 1.189 2.781 0.000
Ti 6.883 2.914 1.806
Ti 5.026 6.883 1.806
Ti 2.914 1.056 1.806
Ca 3.970 3.970 0.000
Sb 5.159 1.189 0.000
Ca 0.000 0.000 0.000
Sb 6.751 5.159 0.000

---

--- y ---
5
Lattice="-1.415 -2.488 -3.146 -2.953 -1.611 2.602 -6.408 2.697 -2.126" Properties=species:S:1:pos:R:3 comment="CaTi2Sb2 | Alexandria via LeMat-Bulk | PBE-GGA | relaxed" magmom_total_mub_per_fu=0.00 pbc="T T T"
Sb -7.609 -0.458 -1.966
Ca 0.000 0.000 0.000
Ti -5.003 -0.921 -2.772
Sb -3.167 -0.945 -0.703
Ti -5.772 -0.482 0.102

---

y ends up most stable, edging out the next structure by 121 meV/atom.

---

--- w ---
4
Lattice="0.000 3.908 3.908 3.908 0.000 3.908 3.908 3.908 0.000" Properties=species:S:1:pos:R:3 comment="CaTlSb2 | Alexandria via LeMat-Bulk | PBE-GGA | relaxed" magmom_total_mub_per_fu=0.00 pbc="T T T"
Sb 1.954 1.954 1.954
Ca 0.000 0.000 0.000
Sb 5.862 5.862 5.862
Tl 3.908 3.908 3.908

---

--- x ---
4
Lattice="5.222 0.000 0.000 2.611 4.522 0.000 2.611 1.507 5.759" Properties=species:S:1:pos:R:3 comment="CaTlSb2 | Alexandria via LeMat-Bulk | PBE-GGA | relaxed" magmom_total_mub_per_fu=0.00 pbc="T T T"
Sb 2.611 1.507 1.440
Tl 5.222 3.015 3.051
Ca 7.832 4.522 5.563
Sb 2.611 1.507 4.344

---

--- y ---
4
Lattice="6.692 0.043 -0.060 5.401 3.952 -0.060 2.035 0.672 4.552" Properties=species:S:1:pos:R:3 comment="CaTlSb2 | Alexandria via LeMat-Bulk | PBE-GGA | relaxed" magmom_total_mub_per_fu=0.00 pbc="T T T"
Sb 10.498 3.468 3.558
Sb 2.325 0.768 4.220
Ca 3.649 1.205 1.198
Tl 6.756 2.232 2.224

---

--- z ---
4
Lattice="4.339 0.000 0.000 0.000 4.190 0.001 0.000 4.183 6.725" Properties=species:S:1:pos:R:3 comment="CaTlSb2 | Alexandria via LeMat-Bulk | PBE-GGA | relaxed" magmom_total_mub_per_fu=0.00 pbc="T T T"
Sb 0.000 4.184 6.485
Sb 0.000 4.185 3.603
Ca 2.170 6.279 5.044
Tl 2.170 2.093 1.681

---

z ends up most stable, edging out the next structure by 51 meV/atom.

---

--- w ---
4
Lattice="-2.285 -1.926 1.867 -1.209 -2.798 -4.367 4.715 -4.231 1.405" Properties=species:S:1:pos:R:3 comment="CaTlSb2 | Alexandria via LeMat-Bulk | PBE-GGA | relaxed" magmom_total_mub_per_fu=0.00 pbc="T T T"
Sb -0.213 -3.739 -0.793
Tl 2.052 -1.841 0.611
Sb 4.304 -3.862 1.283
Ca 2.150 -5.859 -0.088

---

--- x ---
8
Lattice="8.681 0.000 0.000 0.000 8.681 0.000 4.340 4.340 3.258" Properties=species:S:1:pos:R:3 comment="CaTlSb2 | Alexandria via LeMat-Bulk | PBE-GGA | relaxed" magmom_total_mub_per_fu=0.00 pbc="T T T"
Tl 0.000 0.000 0.000
Sb 6.511 6.439 2.443
Sb 2.098 6.511 0.814
Ca 4.340 8.681 1.629
Sb 10.851 10.923 2.443
Sb 6.583 2.170 0.814
Tl 8.681 4.340 1.629
Ca 4.340 4.340 0.000

---

--- y ---
4
Lattice="-4.545 0.295 1.700 -1.637 -2.248 -3.987 0.541 -4.275 2.189" Properties=species:S:1:pos:R:3 comment="CaTlSb2 | Alexandria via LeMat-Bulk | PBE-GGA | relaxed" magmom_total_mub_per_fu=0.00 pbc="T T T"
Tl -2.002 -1.990 1.944
Ca -0.548 -3.262 -0.899
Sb -3.091 -0.977 -1.143
Sb 0.000 0.000 0.000

---

y ends up most stable, edging out the next structure by 139 meV/atom.

---

--- w ---
4
Lattice="4.159 0.000 0.000 0.000 4.159 0.000 0.000 0.000 6.687" Properties=species:S:1:pos:R:3 comment="CaTlSb2 | Alexandria via LeMat-Bulk | PBE-GGA | relaxed" magmom_total_mub_per_fu=0.00 pbc="T T T"
Sb 2.080 2.080 1.673
Tl 0.000 0.000 3.235
Ca 2.080 2.080 5.129
Sb 0.000 0.000 6.679

---

--- x ---
4
Lattice="-1.380 5.520 -0.633 -2.382 -1.740 4.907 3.056 0.974 1.828" Properties=species:S:1:pos:R:3 comment="CaTlSb2 | Alexandria via LeMat-Bulk | PBE-GGA | relaxed" magmom_total_mub_per_fu=0.00 pbc="T T T"
Tl 0.838 3.247 0.598
Sb 0.000 0.000 0.000
Sb -1.881 1.890 2.137
Ca 0.337 -0.383 3.368

---

x ends up most stable, edging out the next structure by 116 meV/atom.

---

--- w ---
4
Lattice="5.974 -0.017 -0.022 2.091 5.596 0.022 -4.018 -2.811 3.413" Properties=species:S:1:pos:R:3 comment="CaTlSb2 | Alexandria via LeMat-Bulk | PBE-GGA | relaxed" magmom_total_mub_per_fu=0.00 pbc="T T T"
Ca 1.053 2.787 1.717
Sb 4.032 2.789 0.000
Tl 2.994 -0.019 1.695
Sb 0.000 0.000 0.000

---

--- x ---
4
Lattice="-5.084 -1.976 0.664 -1.243 -2.939 4.474 -3.291 2.123 3.855" Properties=species:S:1:pos:R:3 comment="CaTlSb2 | Alexandria via LeMat-Bulk | PBE-GGA | relaxed" magmom_total_mub_per_fu=0.00 pbc="T T T"
Ca -4.809 -1.396 4.497
Tl -7.214 -2.094 6.745
Sb 0.000 0.000 0.000
Sb -2.405 -0.698 2.248

---

w ends up most stable, edging out the next structure by 180 meV/atom.

---

--- w ---
6
Lattice="4.415 -4.838 1.159 2.495 -0.832 6.109 -1.750 -5.303 3.613" Properties=species:S:1:pos:R:3 comment="Ca4TlSb | Alexandria via LeMat-Bulk | PBE-GGA | relaxed" magmom_total_mub_per_fu=0.00 pbc="T T T"
Tl 0.000 0.000 0.000
Ca 4.134 -6.529 4.664
Ca 1.938 -4.122 4.088
Ca 1.068 -6.760 5.884
Ca 3.179 -4.536 7.126
Sb 3.869 -8.230 8.161

---

--- x ---
12
Lattice="-7.045 2.681 0.532 -2.124 -4.443 -5.733 2.867 -4.601 7.481" Properties=species:S:1:pos:R:3 comment="Ca4TlSb | Alexandria via LeMat-Bulk | PBE-GGA | relaxed" magmom_total_mub_per_fu=0.00 pbc="T T T"
Ca -0.448 -1.423 1.265
Sb -6.877 -1.321 -3.900
Ca -5.854 -4.940 1.016
Tl -2.089 -0.960 4.007
Ca -5.028 -2.302 -1.332
Sb -2.292 -0.440 -1.300
Ca -4.796 -2.717 3.882
Ca -3.969 -0.079 1.534
Tl 0.371 -4.522 0.874
Ca -1.274 -4.060 3.613
Ca -2.333 -6.283 0.747
Ca -1.506 -3.645 -1.601

---

x ends up most stable, edging out the next structure by 654 meV/atom.

---

--- w ---
10
Lattice="-6.379 4.441 -2.509 -5.089 -5.272 3.606 0.205 2.631 4.136" Properties=species:S:1:pos:R:3 comment="Ca2Tl2Sb | Alexandria via LeMat-Bulk | PBE-GGA | relaxed" magmom_total_mub_per_fu=0.00 pbc="T T T"
Ca -8.714 0.231 0.285
Ca -5.048 2.086 -1.077
Tl -8.367 -0.299 3.515
Tl -7.124 3.244 1.200
Sb -5.734 -0.416 0.549
Tl -4.139 -1.444 4.034
Ca -6.420 -2.917 2.174
Ca -2.754 -1.062 0.812
Sb 0.000 0.000 0.000
Tl -2.896 2.099 1.718

---

--- x ---
10
Lattice="-1.036 2.850 -7.463 1.490 -7.324 -3.004 -4.577 -1.030 0.242" Properties=species:S:1:pos:R:3 comment="Ca2Tl2Sb | Alexandria via LeMat-Bulk | PBE-GGA | relaxed" magmom_total_mub_per_fu=0.00 pbc="T T T"
Tl 0.407 -2.300 -2.099
Ca -2.376 -0.825 -2.850
Sb 0.000 0.000 0.000
Tl 0.047 -2.174 -8.368
Ca -2.657 -0.564 -7.059
Ca -1.466 -4.940 -3.166
Ca -1.748 -4.679 -7.375
Tl 0.911 -5.300 -5.334
Sb 0.227 -2.237 -5.233
Tl -0.457 0.826 -5.133

---

x ends up most stable, edging out the next structure by 59 meV/atom.

---

--- w ---
5
Lattice="-0.826 2.521 3.654 1.642 -3.280 2.634 4.125 1.810 -0.317" Properties=species:S:1:pos:R:3 comment="CaV3Sb | Alexandria via LeMat-Bulk | PBE-GGA | relaxed" magmom_total_mub_per_fu=0.00 pbc="T T T"
Ca 0.000 0.000 0.000
V -0.413 1.261 1.827
V 2.062 0.905 -0.158
Sb 2.470 0.526 2.986
V 0.821 -1.640 1.317

---

--- x ---
5
Lattice="5.154 0.000 0.000 0.000 5.154 0.000 0.000 0.000 5.154" Properties=species:S:1:pos:R:3 comment="CaV3Sb | Alexandria via LeMat-Bulk | PBE-GGA | relaxed" magmom_total_mub_per_fu=9.88 pbc="T T T"
Sb 0.000 0.000 0.000
V 2.577 0.000 0.000
V 0.000 2.577 0.000
V 0.000 0.000 2.577
Ca 2.577 2.577 2.577

---

x ends up most stable, edging out the next structure by 909 meV/atom.